! TbPmSmEr2, optimized geometry, DFT GGA-PBE; values from VASP
! - spin magnetization (Bohr magnetons per cell) = 0.00
! - final energy (eV/atom) = -4.30
! - formation energy from the elements (eV/atom) = 0.348
&SYSTEM
  ibrav = 0, nat = 10, ntyp = 4
/
ATOMIC_SPECIES
Tb 158.93 Tb.upf
Pm 145.00 Pm.upf
Sm 150.36 Sm.upf
Er 167.26 Er.upf
ATOMIC_POSITIONS crystal
Tb 0.232 0.768 0.750
Tb 0.768 0.232 0.250
Pm 0.343 0.657 0.250
Pm 0.657 0.343 0.750
Sm 0.157 0.843 0.250
Sm 0.843 0.157 0.750
Er 0.247 0.247 0.000
Er 0.247 0.247 0.500
Er 0.753 0.753 0.000
Er 0.753 0.753 0.500
CELL_PARAMETERS angstrom
3.203 -8.276 0.000
3.203 8.276 0.000
0.000 0.000 6.398